# 1
Computed, not measured: a relaxed KMgN crystal at the PBE-GGA level of DFT.

Calculated values
The raw formation energy comes out at -0.6 eV/f.u. Its space group is P2_1/m (11). The value obtained for the total magnetic moment is 0.000 μB per formula unit. As for the raw total energy: -11.60 eV per formula unit.

Cell: 3.8275 3.8275 9.7841 Å, 90.00 90.04 90.00°
Sites, in units of the cell vectors:
K1 0.2490 0.2500 0.2340
K2 0.7510 0.7500 0.7660
Mg1 0.2493 0.7500 0.5001
Mg2 0.7507 0.2500 0.4999
N1 0.2495 0.2500 0.6004
N2 0.7505 0.7500 0.3996


# 2
Computed, not measured: a relaxed KMgN3 crystal at the PBE-GGA level of DFT.

Calculated values
The raw formation energy comes out at 13.2 eV/f.u. Its space group is Pm-3m (221). The value obtained for the total magnetic moment is 6.000 μB per formula unit. As for the raw total energy: -14.47 eV per formula unit.

Cell: 4.6095 4.6095 4.6095 Å, 90.00 90.00 90.00°
Sites, in units of the cell vectors:
K1 0.0000 0.0000 0.0000
Mg1 0.5000 0.5000 0.5000
N1 0.0000 0.0000 0.5000
N2 0.0000 0.5000 0.0000
N3 0.5000 0.0000 0.0000


# 3
Computed, not measured: a relaxed KMgN crystal at the PBE-GGA level of DFT.

Calculated values
The raw formation energy comes out at -0.4 eV/f.u. Its space group is Pnma (62). The value obtained for the total magnetic moment is 0.000 μB per formula unit. As for the raw total energy: -11.39 eV per formula unit.

Cell: 10.2441 3.9095 6.7054 Å, 90.00 90.00 90.00°
Sites, in units of the cell vectors:
K1 0.1601 0.2500 0.0534
K2 0.3399 0.7500 0.5534
K3 0.6601 0.2500 0.4466
K4 0.8399 0.7500 0.9466
Mg1 0.0446 0.2500 0.6057
Mg2 0.4554 0.7500 0.1057
Mg3 0.5446 0.2500 0.8943
Mg4 0.9554 0.7500 0.3943
N1 0.0641 0.7500 0.6760
N2 0.4359 0.2500 0.1760
N3 0.5641 0.7500 0.8240
N4 0.9359 0.2500 0.3240


What is the formula in the first record?
KMgN


Which of these has the highest raw formation energy?
KMgN3


Among the records above, which one has the lowest raw total energy?
KMgN3


Number 1 is which compound?
KMgN